Computed, not measured: a geometry-optimized SrPtSe structure at the PBE level of DFT.

Lattice parameters (Å, degrees): 5.165 5.165 9.476 90.00 90.00 120.00
Sites, in units of the cell vectors:
Sr1 0.333 0.667 0.250
Sr2 0.667 0.333 0.750
Se1 0.000 0.000 0.250
Se2 0.000 0.000 0.750
Pt1 0.000 0.000 0.000
Pt2 0.000 0.000 0.500

Computed properties:
**Spin magnetization**: 0.00 μB/f.u.
**E_tot**: -4.4641 eV per atom
**DOS at the Fermi energy**: 0.20 states/eV per atom
**Mass density**: 5.49 g/cm³
**Formation energy (no corrections)**: -0.728 eV/atom